A plane-wave DFT calculation with PBE was carried out for a relaxed LiY2CrN crystal.

abc: 4.9461 4.9461 3.7131
angles: 90.00 90.00 90.00
Last column: nearest neighbours and their distance in Å.
Element x y z (fractional)
Li (0.0000, 0.0000, 0.0000)  8 Y 3.09
Y (0.0000, 0.5000, 0.5000)  2 N 2.47
Y (0.5000, 0.0000, 0.5000)  2 N 2.47
Cr (0.5000, 0.5000, 0.0000)  2 N 1.86
N (0.5000, 0.5000, 0.5000)  2 Cr 1.86

Values from the calculation:
For the energy relative to the elements, uncorrected, the calculation gives -0.491 eV per atom. The total energy is -7.049 eV per atom. The space group is P4/mmm.